No. 1
ZrBe9Tc2 | PBE | optimized geometry

Computed properties:
The raw total energy is -5.558 eV/atom. The formation energy from the elements comes out at -0.32 eV/atom. Its symmetry is P6_3/mmc.

Lattice parameters (Å, degrees): 4.4268 4.4268 14.1039 90.00 90.00 120.00
Element x y z (fractional)
Zr 0.3333 0.6667 0.7500
Zr 0.6667 0.3333 0.2500
Be 0.0000 0.0000 0.0000
Be 0.0000 0.0000 0.5000
Be 0.0000 0.0000 0.2500
Be 0.0000 0.0000 0.7500
Be 0.3333 0.6667 0.2500
Be 0.6667 0.3333 0.7500
Be 0.1692 0.3385 0.1217
Be 0.6615 0.8308 0.1217
Be 0.1692 0.8308 0.1217
Be 0.8308 0.6615 0.6217
Be 0.3385 0.1692 0.6217
Be 0.8308 0.1692 0.6217
Be 0.3385 0.1692 0.8783
Be 0.8308 0.6615 0.8783
Be 0.8308 0.1692 0.8783
Be 0.6615 0.8308 0.3783
Be 0.1692 0.3385 0.3783
Be 0.1692 0.8308 0.3783
Tc 0.3333 0.6667 0.5338
Tc 0.6667 0.3333 0.0338
Tc 0.6667 0.3333 0.4662
Tc 0.3333 0.6667 0.9662

---

No. 2
Ho2ErTm3As6 | PBE | optimized geometry

Computed properties:
The raw total energy is -6.101 eV/atom. The formation energy from the elements comes out at -1.52 eV/atom. Its symmetry is C2/m.

Lattice parameters (Å, degrees): 4.0787 8.1549 9.1178 102.90 102.92 90.00
Element x y z (fractional)
Ho 0.8334 0.6670 0.6669
Ho 0.1666 0.3330 0.3331
Er 0.5000 0.0000 0.0000
Tm 0.5000 0.5000 0.0000
Tm 0.8332 0.1668 0.6665
Tm 0.1668 0.8332 0.3335
As 0.3331 0.9184 0.6662
As 0.6661 0.5845 0.3323
As 0.6669 0.0816 0.3338
As 0.9994 0.2505 0.9988
As 0.0006 0.7495 0.0012
As 0.3339 0.4155 0.6677

---

No. 3
Al2NiPb | PBE | optimized geometry

Computed properties:
The raw total energy is -3.970 eV/atom. The formation energy from the elements comes out at 0.27 eV/atom. Its symmetry is C2/m.

Lattice parameters (Å, degrees): 5.9181 5.9181 3.1897 73.38 73.38 123.21
Element x y z (fractional)
Pb 0.0000 0.5000 0.5000
Ni 0.5000 0.0000 0.5000
Al 0.0000 0.0000 0.0000
Al 0.5000 0.5000 0.0000

---

No. 4
ZrTlAsClO | PBE | optimized geometry

Computed properties:
The raw total energy is -5.771 eV/atom. For the raw formation energy, the calculation gives -1.30 eV per atom. Its symmetry is Pm.

Lattice parameters (Å, degrees): 5.2382 3.6329 6.6139 90.00 96.45 90.00
Element x y z (fractional)
Zr 0.2623 0.0000 0.9245
Tl 0.6942 0.5000 0.4621
As 0.2109 0.0000 0.5219
Cl 0.7799 0.0000 0.9526
O 0.3115 0.5000 0.0432

---

No. 5
ScAu2Se | PBE | optimized geometry

Computed properties:
The raw total energy is -4.587 eV/atom. For the raw formation energy, the calculation gives -0.49 eV per atom. Its symmetry is F-43m.

Lattice parameters (Å, degrees): 4.7990 4.7990 4.7990 120.06 120.06 89.89
Element x y z (fractional)
Au 0.0000 0.0000 0.0000
Au 0.2500 0.7500 0.5000
Sc 0.5000 0.5000 0.0000
Se 0.7500 0.2500 0.5000

---

No. 6
GaAsWSe2 | PBE | optimized geometry

Computed properties:
The raw total energy is -4.287 eV/atom. For the raw formation energy, the calculation gives 1.23 eV per atom. Its symmetry is P4/mmm.

Lattice parameters (Å, degrees): 4.8717 4.8717 4.7634 90.00 90.00 90.00
Element x y z (fractional)
As 0.0000 0.0000 0.5000
Ga 0.0000 0.0000 0.0000
Se 0.0000 0.5000 0.0000
Se 0.5000 0.0000 0.0000
W 0.5000 0.5000 0.5000

---

No. 7
Hf3HgMo2 | PBE | optimized geometry

Computed properties:
The raw total energy is -8.748 eV/atom. The formation energy from the elements comes out at -0.11 eV/atom. Its symmetry is P4/mmm.

Lattice parameters (Å, degrees): 3.3876 3.3876 10.1710 90.00 90.00 90.00
Element x y z (fractional)
Hf 0.0000 0.0000 0.0000
Hf 0.0000 0.0000 0.6911
Hf 0.0000 0.0000 0.3089
Hg 0.5000 0.5000 0.5000
Mo 0.5000 0.5000 0.8350
Mo 0.5000 0.5000 0.1650

---

No. 8
Li2CaAcCd2 | PBE | optimized geometry

Computed properties:
The raw total energy is -2.150 eV/atom. The formation energy from the elements comes out at -0.19 eV/atom. Its symmetry is P-3m1.

Lattice parameters (Å, degrees): 5.0575 5.0575 7.4884 90.00 90.00 120.00
Element x y z (fractional)
Li 0.3333 0.6667 0.7093
Li 0.6667 0.3333 0.2907
Ca 0.0000 0.0000 0.5000
Ac 0.0000 0.0000 0.0000
Cd 0.3333 0.6667 0.2721
Cd 0.6667 0.3333 0.7279

---

No. 9
CsGa2AuCl8 | PBE | optimized geometry

Computed properties:
The raw total energy is -3.191 eV/atom. For the raw formation energy, the calculation gives -1.11 eV per atom. Its symmetry is P-3.

Lattice parameters (Å, degrees): 6.6361 6.6361 9.8415 90.00 90.00 120.00
Element x y z (fractional)
Cs 0.0000 0.0000 0.0000
Ga 0.6667 0.3333 0.2597
Ga 0.3333 0.6667 0.7403
Au 0.0000 0.0000 0.5000
Cl 0.3333 0.6667 0.9649
Cl 0.3426 0.3217 0.3267
Cl 0.6783 0.0209 0.3267
Cl 0.6667 0.3333 0.0351
Cl 0.3217 0.9791 0.6733
Cl 0.6574 0.6783 0.6733
Cl 0.0209 0.3426 0.6733
Cl 0.9791 0.6574 0.3267

---

No. 10
Cr2Ni2H3 | PBE | optimized geometry

Computed properties:
The raw total energy is -5.835 eV/atom. Its symmetry is C2/m.

Lattice parameters (Å, degrees): 2.5988 4.5551 4.5630 99.49 89.99 106.55
Element x y z (fractional)
Cr 0.6200 0.2403 0.8739
Cr 0.3800 0.7597 0.1261
Ni 0.8793 0.7580 0.6143
Ni 0.1207 0.2420 0.3857
H 0.0000 0.0000 0.0000
H 0.7497 0.4988 0.2451
H 0.2503 0.5012 0.7549

---

No. 11
Nd4TlO | PBE | optimized geometry

Computed properties:
The raw total energy is -5.404 eV/atom. For the raw formation energy, the calculation gives -1.01 eV per atom. Its symmetry is P-1.

Lattice parameters (Å, degrees): 5.8452 7.3550 8.5640 105.93 109.97 90.02
Element x y z (fractional)
Nd 0.4050 0.0778 0.7866
Nd 0.6186 0.4225 0.2138
Nd 0.5950 0.9222 0.2134
Nd 0.3814 0.5775 0.7862
Nd 0.8196 0.7978 0.6137
Nd 0.2061 0.7026 0.3868
Nd 0.1804 0.2022 0.3863
Nd 0.7939 0.2974 0.6132
Tl 0.9841 0.7494 0.0000
Tl 0.0159 0.2506 0.0000
O 0.5000 0.0000 0.5000
O 0.0000 0.5000 0.5000

---

No. 12
RbGe2PbO6 | PBE | optimized geometry

Computed properties:
The raw total energy is -5.783 eV/atom. For the raw formation energy, the calculation gives -1.42 eV per atom. Its symmetry is C2/c.

Lattice parameters (Å, degrees): 5.4993 7.9266 7.9266 92.65 83.34 83.34
Element x y z (fractional)
Rb 0.2500 0.9062 0.0938
Rb 0.7500 0.0938 0.9062
Ge 0.2630 0.8022 0.6328
Ge 0.2370 0.3672 0.1978
Ge 0.7370 0.1978 0.3672
Ge 0.7630 0.6328 0.8022
Pb 0.2500 0.2832 0.7168
Pb 0.7500 0.7168 0.2832
O 0.2260 0.9978 0.7511
O 0.2740 0.2489 0.0022
O 0.7740 0.0022 0.2489
O 0.7260 0.7511 0.9978
O 0.3647 0.8136 0.4164
O 0.1353 0.5836 0.1864
O 0.6353 0.1864 0.5836
O 0.8647 0.4164 0.8136
O 0.9604 0.7268 0.6421
O 0.5396 0.3579 0.2732
O 0.0396 0.2732 0.3579
O 0.4604 0.6421 0.7268

---

No. 13
Cs3HgCl | PBE | optimized geometry

Computed properties:
The raw total energy is -1.727 eV/atom. For the raw formation energy, the calculation gives -0.79 eV per atom. Its symmetry is Pm-3m.

Lattice parameters (Å, degrees): 6.8176 6.8176 6.8176 90.00 90.00 90.00
Element x y z (fractional)
Cs 0.0000 0.5000 0.0000
Cs 0.0000 0.0000 0.5000
Cs 0.5000 0.0000 0.0000
Hg 0.5000 0.5000 0.5000
Cl 0.0000 0.0000 0.0000

---

No. 14
Tb4Y3Er2 | PBE | optimized geometry

Computed properties:
The raw total energy is -5.128 eV/atom. The formation energy from the elements comes out at 0.10 eV/atom. Its symmetry is C2/c.

Lattice parameters (Å, degrees): 6.1335 11.2452 11.2452 61.92 61.83 61.83
Element x y z (fractional)
Tb 0.4208 0.9046 0.1884
Tb 0.0792 0.8116 0.0954
Tb 0.5792 0.0954 0.8116
Tb 0.9208 0.1884 0.9046
Tb 0.0776 0.1450 0.4307
Tb 0.4224 0.5693 0.8550
Tb 0.9224 0.8550 0.5693
Tb 0.5776 0.4307 0.1450
Y 0.7439 0.0698 0.2650
Y 0.7561 0.7350 0.9302
Y 0.2561 0.9302 0.7350
Y 0.2439 0.2650 0.0698
Y 0.2500 0.5977 0.4023
Y 0.7500 0.4023 0.5977
Er 0.4209 0.2402 0.5212
Er 0.0791 0.4788 0.7598
Er 0.5791 0.7598 0.4788
Er 0.9209 0.5212 0.2402

---

No. 15
Ga3Ge5Au12 | PBE | optimized geometry

Computed properties:
The raw total energy is -3.522 eV/atom. The formation energy from the elements comes out at 0.05 eV/atom. Its symmetry is Ia-3d.

Lattice parameters (Å, degrees): 13.1622 13.1622 13.1622 109.47 109.47 109.47
Element x y z (fractional)
Ga 0.7500 0.3750 0.1250
Ga 0.8750 0.7500 0.1250
Ga 0.3750 0.7500 0.6250
Ga 0.2500 0.1250 0.3750
Ga 0.8750 0.1250 0.2500
Ga 0.3750 0.6250 0.2500
Ga 0.6250 0.3750 0.7500
Ga 0.1250 0.8750 0.7500
Ga 0.7500 0.8750 0.6250
Ga 0.6250 0.2500 0.3750
Ga 0.1250 0.2500 0.8750
Ga 0.2500 0.6250 0.8750
Ge 0.1250 0.3750 0.2500
Ge 0.0000 0.5000 0.0000
Ge 0.0000 0.0000 0.0000
Ge 0.3750 0.2500 0.1250
Ge 0.5000 0.0000 0.5000
Ge 0.5000 0.5000 0.0000
Ge 0.1250 0.7500 0.3750
Ge 0.7500 0.1250 0.8750
Ge 0.7500 0.6250 0.3750
Ge 0.3750 0.1250 0.7500
Ge 0.6250 0.8750 0.2500
Ge 0.5000 0.5000 0.5000
Ge 0.5000 0.0000 0.0000
Ge 0.0000 0.0000 0.5000
Ge 0.2500 0.3750 0.6250
Ge 0.2500 0.8750 0.1250
Ge 0.0000 0.5000 0.5000
Ge 0.8750 0.2500 0.6250
Ge 0.6250 0.7500 0.8750
Ge 0.8750 0.6250 0.7500
Au 0.7291 0.1338 0.0610
Au 0.3320 0.5610 0.4272
Au 0.9390 0.3662 0.2709
Au 0.5610 0.2291 0.1338
Au 0.5952 0.7291 0.6680
Au 0.9390 0.5728 0.1680
Au 0.3320 0.7709 0.4048
Au 0.0728 0.9048 0.1338
Au 0.5728 0.9390 0.6680
Au 0.7291 0.5952 0.1680
Au 0.7709 0.4390 0.3662
Au 0.8320 0.9272 0.0610
Au 0.1338 0.7291 0.5610
Au 0.3662 0.4272 0.0952
Au 0.0952 0.9272 0.3662
Au 0.4048 0.1338 0.5728
Au 0.0952 0.1680 0.2291
Au 0.4390 0.6680 0.0728
Au 0.8320 0.9048 0.2709
Au 0.1338 0.4048 0.0728
Au 0.3662 0.9390 0.7709
Au 0.5728 0.6338 0.4048
Au 0.9272 0.8320 0.5610
Au 0.7709 0.3320 0.9048
Au 0.4272 0.3662 0.5952
Au 0.0728 0.1680 0.4390
Au 0.2291 0.6680 0.0952
Au 0.1680 0.0952 0.7291
Au 0.6338 0.0610 0.2291
Au 0.8662 0.5952 0.9272
Au 0.5610 0.3320 0.9272
Au 0.5952 0.8662 0.4272
Au 0.9048 0.8320 0.7709
Au 0.9048 0.0728 0.6338
Au 0.8662 0.2709 0.4390
Au 0.1680 0.0728 0.9390
Au 0.6338 0.5728 0.9048
Au 0.4272 0.0610 0.3320
Au 0.2709 0.4048 0.8320
Au 0.2291 0.5610 0.6338
Au 0.9272 0.0952 0.8662
Au 0.6680 0.2291 0.5952
Au 0.4390 0.7709 0.8662
Au 0.0610 0.4272 0.8320
Au 0.4048 0.2709 0.3320
Au 0.0610 0.6338 0.7291
Au 0.6680 0.4390 0.5728
Au 0.2709 0.8662 0.9390

---

No. 16
AcNd5P6 | PBE | optimized geometry

Computed properties:
The raw total energy is -6.544 eV/atom. The formation energy from the elements comes out at -1.51 eV/atom. Its symmetry is C2/m.

Lattice parameters (Å, degrees): 7.3054 7.3077 7.3057 59.99 80.39 70.50
Element x y z (fractional)
P 0.7453 0.0850 0.3410
P 0.2547 0.5740 0.3410
P 0.2542 0.2563 0.0000
P 0.7458 0.7437 0.0000
P 0.7453 0.4260 0.6590
P 0.2547 0.9150 0.6590
Ac 0.0000 0.0000 0.0000
Nd 0.5000 0.1660 0.6681
Nd 0.0000 0.3330 0.3339
Nd 0.5000 0.5000 0.0000
Nd 0.0000 0.6670 0.6661
Nd 0.5000 0.8340 0.3319

---

No. 17
Ho3ThCd4 | PBE | optimized geometry

Computed properties:
The raw total energy is -3.338 eV/atom. The formation energy from the elements comes out at -0.24 eV/atom. Its symmetry is P4/mmm.

Lattice parameters (Å, degrees): 5.2559 7.6963 10.5126 90.00 90.00 90.00
Element x y z (fractional)
Ho 0.0000 0.0000 0.0000
Ho 0.0000 0.0000 0.5000
Ho 0.5005 0.0000 0.7500
Ho 0.4995 0.0000 0.2500
Ho 0.5006 0.5000 0.7500
Ho 0.4994 0.5000 0.2500
Th 0.0000 0.5000 0.0000
Th 0.0000 0.5000 0.5000
Cd 0.5000 0.7606 0.0000
Cd 0.5000 0.7606 0.5000
Cd 0.5000 0.2394 0.0000
Cd 0.5000 0.2394 0.5000
Cd 0.0007 0.7606 0.7500
Cd 0.9993 0.7606 0.2500
Cd 0.9993 0.2394 0.2500
Cd 0.0007 0.2394 0.7500

---

No. 18
AlHIrRh2 | PBE | optimized geometry

Computed properties:
The raw total energy is -6.392 eV/atom. Its symmetry is P4/mmm.

Lattice parameters (Å, degrees): 3.8039 3.8039 4.0761 90.00 90.00 90.00
Element x y z (fractional)
H 0.0000 0.0000 0.0000
Ir 0.5000 0.5000 0.5000
Rh 0.0000 0.5000 0.0000
Rh 0.5000 0.0000 0.0000
Al 0.0000 0.0000 0.5000

---

No. 19
Th2SnIr | PBE | optimized geometry

Computed properties:
The raw total energy is -7.561 eV/atom. The formation energy from the elements comes out at -0.64 eV/atom. Its symmetry is P4/mmm.

Lattice parameters (Å, degrees): 3.4430 3.4430 8.6521 90.00 90.00 90.00
Element x y z (fractional)
Ir 0.5000 0.5000 0.0000
Sn 0.5000 0.5000 0.5000
Th 0.0000 0.0000 0.7854
Th 0.0000 0.0000 0.2146

---

Theoretical density, respectively: 5111, 8388, 7112, 5603, 11013, 7144, 13202, 5063, 3331, 7305, 8002, 5212, 3326, 7190, 11110, 5915, 9188, 11994, 12548 kg/m3.
Density of states at the Fermi level, respectively: 7.1, 1.9, 2.3, 1.2, 4.2, 2.0, 5.6, 5.0, 0.0, 5.3, 8.3, 2.5, 3.3, 27.1, 43.9, 0.7, 19.2, 3.4, 3.7 states/eV/cell.